[1]
A plane-wave DFT calculation with PBE-GGA was carried out for crystalline Sm2Th2Hg at its relaxed geometry.

## Properties
The calculation puts the density of states at the Fermi level at 7.18 states/eV/f.u. As for the formation energy from the elements: -193 meV per atom.

Cell lengths 3.648, 3.648, 22.792 Å; angles 90.00, 90.00, 90.00 degrees
Positions (direct):
Sm 0.000 0.000 0.089
Sm 0.000 0.000 0.911
Sm 0.500 0.500 0.411
Sm 0.500 0.500 0.589
Th 0.000 0.000 0.302
Th 0.000 0.000 0.698
Th 0.500 0.500 0.198
Th 0.500 0.500 0.802
Hg 0.000 0.000 0.500
Hg 0.500 0.500 0.000

[2]
A plane-wave DFT calculation with PBE-GGA was carried out for crystalline SmTh2Hg6 at its relaxed geometry.

## Properties
The calculation puts the density of states at the Fermi level at 4.52 states/eV/f.u. As for the formation energy from the elements: -313 meV per atom.

Cell lengths 8.783, 8.783, 3.410 Å; angles 90.00, 90.00, 120.00 degrees
Positions (direct):
Sm 0.000 0.000 0.000
Th 0.333 0.667 0.000
Th 0.667 0.333 0.000
Hg 0.000 0.331 0.500
Hg 0.000 0.669 0.500
Hg 0.331 0.000 0.500
Hg 0.331 0.331 0.500
Hg 0.669 0.000 0.500
Hg 0.669 0.669 0.500

[3]
A plane-wave DFT calculation with PBE-GGA was carried out for crystalline Sm3ThHg4 at its relaxed geometry.

## Properties
The calculation puts the density of states at the Fermi level at 8.68 states/eV/f.u. As for the formation energy from the elements: -394 meV per atom.

Cell lengths 5.363, 5.363, 7.655 Å; angles 90.00, 90.00, 90.00 degrees
Positions (direct):
Sm 0.000 0.000 0.000
Sm 0.000 0.000 0.500
Sm 0.500 0.500 0.000
Th 0.500 0.500 0.500
Hg 0.000 0.500 0.246
Hg 0.000 0.500 0.754
Hg 0.500 0.000 0.246
Hg 0.500 0.000 0.754

[4]
A plane-wave DFT calculation with PBE-GGA was carried out for crystalline SmTh2Hg at its relaxed geometry.

## Properties
The calculation puts the density of states at the Fermi level at 4.38 states/eV/f.u. For the energy above the most stable polymorph in this dataset, the calculation gives 45 meV/atom. As for the formation energy from the elements: -32 meV per atom.

Cell lengths 3.559, 3.559, 9.719 Å; angles 90.00, 90.00, 90.00 degrees
Positions (direct):
Sm 0.000 0.000 0.000
Th 0.500 0.500 0.271
Th 0.500 0.500 0.729
Hg 0.000 0.000 0.500

[5]
A plane-wave DFT calculation with PBE-GGA was carried out for crystalline Sm4ThHg5 at its relaxed geometry.

## Properties
The calculation puts the density of states at the Fermi level at 12.69 states/eV/f.u. As for the formation energy from the elements: -414 meV per atom.

Cell lengths 3.787, 3.787, 19.108 Å; angles 90.00, 90.00, 90.00 degrees
Positions (direct):
Sm 0.000 0.000 0.099
Sm 0.000 0.000 0.298
Sm 0.000 0.000 0.702
Sm 0.000 0.000 0.901
Th 0.000 0.000 0.500
Hg 0.500 0.500 0.000
Hg 0.500 0.500 0.199
Hg 0.500 0.500 0.395
Hg 0.500 0.500 0.605
Hg 0.500 0.500 0.801

[6]
A plane-wave DFT calculation with PBE-GGA was carried out for crystalline Sm5ThHg6 at its relaxed geometry.

## Properties
The calculation puts the density of states at the Fermi level at 12.94 states/eV/f.u. As for the formation energy from the elements: -421 meV per atom.

Cell lengths 8.485, 8.485, 7.632 Å; angles 90.00, 90.00, 143.19 degrees
Positions (direct):
Sm 0.000 0.000 0.000
Sm 0.334 0.666 0.000
Sm 0.335 0.665 0.500
Sm 0.665 0.335 0.500
Sm 0.666 0.334 0.000
Th 0.000 0.000 0.500
Hg 0.169 0.831 0.249
Hg 0.169 0.831 0.751
Hg 0.500 0.500 0.245
Hg 0.500 0.500 0.755
Hg 0.831 0.169 0.249
Hg 0.831 0.169 0.751

formation energy from the elements of number 2 (SmTh2Hg6)?
-313 meV per atom

formation energy from the elements of number 5 (Sm4ThHg5)?
-414 meV per atom

What did the third record say?
A plane-wave DFT calculation with PBE-GGA was carried out for crystalline Sm3ThHg4 at its relaxed geometry.

## Properties
The calculation puts the density of states at the Fermi level at 8.68 states/eV/f.u. As for the formation energy from the elements: -394 meV per atom.

Cell lengths 5.363, 5.363, 7.655 Å; angles 90.00, 90.00, 90.00 degrees
Positions (direct):
Sm 0.000 0.000 0.000
Sm 0.000 0.000 0.500
Sm 0.500 0.500 0.000
Th 0.500 0.500 0.500
Hg 0.000 0.500 0.246
Hg 0.000 0.500 0.754
Hg 0.500 0.000 0.246
Hg 0.500 0.000 0.754